[1]
Density functional theory data (PBE-GGA) for BaNaNiSb after structural relaxation.

Energy relative to the lowest polymorph listed for this composition, eV per atom: 0.000
Space group: F-43m
E, eV/atom: -3.43
V, A^3/atom: 24.231

a b c (Å): 5.156 5.156 5.156
angles (deg): 60.00 60.00 60.00
Fractional coordinates of all 4 atoms:
Na  0.750  0.750  0.750
Sb  0.000  0.000  0.000
Ni  0.250  0.250  0.250
Ba  0.500  0.500  0.500

[2]
Density functional theory data (PBE-GGA) for BaNaTaNi after structural relaxation.

Energy relative to the lowest polymorph listed for this composition, eV per atom: 0.033
Space group: F-43m
E, eV/atom: -4.08
V, A^3/atom: 23.223

a b c (Å): 5.084 5.084 5.084
angles (deg): 60.00 60.00 60.00
Fractional coordinates of all 4 atoms:
Ba  0.500  0.500  0.500
Na  0.750  0.750  0.750
Ta  0.000  0.000  0.000
Ni  0.250  0.250  0.250